Material: Ce4Bi5Te
Method: DFT, GGA-PBE
State: optimized geometry

Calculated values
VASP energy, eV per atom: -5.24

a b c (Å): 18.5096 4.7194 8.4574
angles (deg): 90.00 110.44 90.00
Space group C2/m (No. 12)
Asymmetric unit:
Ce (0.0432, 0.0000, 0.2727) (multiplicity 4)
Ce (0.1619, 0.5000, 0.9585) (multiplicity 4)
Bi (0.0000, 0.5000, 0.5000) (multiplicity 2)
Bi (0.1447, 0.0000, 0.6757) (multiplicity 4)
Bi (0.2076, 0.0000, 0.2372) (multiplicity 4)
Te (0.0000, 0.5000, 0.0000) (multiplicity 2)